1.
17
Lattice="-3.869 -1.859 -1.901 3.607 0.163 -5.946 7.322 -5.068 -1.057" Properties=species:S:1:pos:R:3 comment="Al2Si2H4O9 | Alexandria | GGA-PBE | optimized geometry" spacegroup="P1, No. 1" de_polymorph_ev_per_atom=0.6414 pbc="T T T"
Al 1.761 -3.357 -5.099
O 4.663 -5.709 -3.453
O 6.340 -4.253 -5.166
Si 0.371 -2.394 -2.403
H 6.761 -3.558 -5.698
Si -1.972 -2.097 -2.351
O 4.151 -3.745 -7.725
O 9.118 -4.609 -6.467
O 1.135 -1.296 -1.436
H 3.966 -3.769 -6.737
O 0.985 -2.394 -3.899
O 5.857 -6.385 -7.299
H 4.889 -2.982 -3.125
Al 4.841 -4.221 -4.345
O 1.189 -2.446 -6.638
H 0.423 -1.885 -6.363
O 3.445 -3.612 -5.171


2.
36
Lattice="6.184 -0.001 -0.003 0.429 7.325 0.002 0.266 3.342 7.055" Properties=species:S:1:pos:R:3 comment="Al3Si2H3O10 | Alexandria | GGA-PBE | optimized geometry" spacegroup="P-1, No. 2" n_ef_per_ev_atom=0.00 pbc="T T T"
O 6.040 4.836 6.330
Si 4.119 2.971 2.057
O 5.509 9.811 5.425
Al 5.799 8.232 4.258
O 3.227 8.551 6.323
O 0.721 3.947 3.988
O 0.839 5.830 0.724
H 5.935 6.550 6.125
O 2.510 3.863 5.978
Si 1.295 6.682 2.087
O 2.275 6.182 5.470
Si 5.584 3.984 4.967
Si 2.760 7.695 4.996
O 5.359 2.160 2.811
O 3.652 2.115 0.731
O 4.605 4.484 1.584
O 1.520 8.506 4.243
H 0.944 4.116 0.929
O 4.042 7.605 3.948
O 4.369 6.803 1.075
O 2.487 5.821 2.839
O 4.392 4.845 4.215
Al 4.395 6.082 2.774
Al 1.907 1.888 0.075
H 5.257 5.025 6.943
H 2.998 10.210 6.125
O 6.158 6.719 3.066
Al 2.484 4.584 4.280
O 2.837 3.061 3.106
O 1.066 3.154 1.089
H 1.623 5.640 0.111
O 5.813 7.512 5.965
Al 4.973 8.778 6.979
H 3.881 0.456 0.929
Al 1.080 2.434 2.796
O 1.370 0.855 1.629


3.
17
Lattice="5.233 0.000 0.000 2.616 4.509 0.000 1.165 1.542 7.216" Properties=species:S:1:pos:R:3 comment="Al2Si2H4O9 | Alexandria | GGA-PBE | optimized geometry" spacegroup="P1, No. 1" de_polymorph_ev_per_atom=0.0000 n_ef_per_ev_atom=0.00 pbc="T T T"
Al 5.445 3.200 3.917
O 6.493 4.509 5.072
O 4.852 1.723 2.938
O 3.874 3.433 5.064
O 3.681 1.720 7.192
H 1.811 1.712 4.993
H 4.395 1.761 2.083
O 6.717 2.572 0.147
H 7.155 3.181 2.069
Al 8.057 4.747 3.899
Si 6.497 4.682 6.684
O 6.070 1.713 4.989
O 7.044 3.475 2.989
H 4.595 4.721 2.065
Si 3.877 3.263 6.673
O 4.091 2.292 0.144
O 4.435 4.473 2.990


4.
17
Lattice="5.219 -0.019 0.048 -2.595 4.528 0.048 0.181 0.311 7.335" Properties=species:S:1:pos:R:3 comment="Al2Si2H4O9 | Alexandria | GGA-PBE | optimized geometry" spacegroup="Cm, No. 8" de_polymorph_ev_per_atom=0.0004 n_ef_per_ev_atom=0.00 pbc="T T T"
Si 0.004 3.081 1.055
Al -0.753 1.658 3.799
Si 2.677 1.526 1.055
O -1.283 2.360 0.342
H 1.307 2.246 5.129
H 2.337 4.016 2.792
O -1.387 3.156 4.756
O -0.164 3.153 2.670
O 0.202 0.348 2.743
O 0.852 1.465 4.773
O 3.429 0.354 4.756
Al 1.813 0.165 3.799
O 2.822 1.415 2.670
H -1.394 3.128 5.732
O 1.345 2.312 0.562
H 3.408 0.333 5.732
O 2.685 0.050 0.342


5.
5
Lattice="-0.842 -1.159 3.175 1.952 -4.114 -0.985 3.049 1.152 1.229" Properties=species:S:1:pos:R:3 comment="AlSi2HO | Alexandria | GGA-PBE | optimized geometry" spacegroup="P4/mmm, No. 123" n_ef_per_ev_atom=0.13 pbc="T T T"
Al 2.079 -2.061 1.709
O 0.976 -2.057 -0.493
H 0.000 0.000 0.000
Si 1.524 0.576 0.615
Si -0.421 -0.580 1.587


6.
34
Lattice="5.221 0.000 -0.123 2.611 4.518 -0.062 0.031 0.000 14.575" Properties=species:S:1:pos:R:3 comment="Al2Si2H4O9 | Alexandria | GGA-PBE | optimized geometry" spacegroup="Cc, No. 9" de_polymorph_ev_per_atom=0.0004 n_ef_per_ev_atom=0.00 pbc="T T T"
O 4.176 3.501 10.198
H 3.735 0.833 9.757
Al 0.571 0.251 11.224
O 3.733 3.724 7.312
Al 5.821 3.289 11.090
O 6.758 4.451 2.820
Si 2.499 2.869 6.650
H 5.311 1.889 4.948
O 6.311 3.508 7.019
H 3.998 2.759 1.983
O 3.716 1.010 14.368
H 4.067 3.444 9.230
O 4.163 0.067 10.169
O 2.220 0.008 5.047
Si 5.126 1.649 13.876
O 1.166 1.764 10.272
O 2.572 1.383 7.351
O 4.847 4.510 12.273
O 2.234 3.472 12.238
H 1.403 1.759 9.332
O 4.829 1.046 4.889
H 2.716 2.629 12.297
Al 3.195 1.229 3.864
Si 2.443 0.095 13.943
H 1.441 1.074 2.004
O 1.549 1.017 2.972
Si 5.038 4.423 6.594
O 5.257 1.739 12.258
O 5.167 3.135 0.002
O 2.630 2.779 5.032
O 1.107 0.794 0.086
O 3.761 2.754 2.923
Al 3.166 4.267 3.875
H 6.330 3.685 2.408


7.
17
Lattice="-1.574 -1.494 -4.522 -4.175 -6.120 -1.296 -4.720 4.490 3.369" Properties=species:S:1:pos:R:3 comment="Al2Si2H4O9 | Alexandria | GGA-PBE | optimized geometry" spacegroup="P1, No. 1" de_polymorph_ev_per_atom=0.0614 n_ef_per_ev_atom=0.00 pbc="T T T"
Si -2.581 -1.131 -2.944
H -4.616 0.966 -2.373
H -7.514 -1.343 -2.546
O -4.684 -3.359 -3.574
Si -3.401 -3.513 -4.520
O -5.465 -0.432 1.328
H -4.602 -3.669 -0.319
O -5.761 -6.016 -4.492
H -5.647 2.078 -1.633
O -7.337 -0.422 -0.902
Al -5.303 -2.098 -2.575
O -7.384 -2.689 1.076
O -4.181 -0.711 -2.823
O -2.355 -2.241 -4.191
O -5.440 -2.422 -0.880
Al -6.400 -1.441 0.146
O -2.143 -1.978 -1.602


8.
88
Lattice="5.667 0.000 0.000 0.000 10.377 0.000 0.000 0.000 16.526" Properties=species:S:1:pos:R:3 comment="Sr2Al3Si3HO13 | Alexandria | GGA-PBE | optimized geometry" spacegroup="Pnma, No. 62" n_ef_per_ev_atom=0.00 pbc="T T T"
Si 4.250 9.649 10.959
O 1.417 5.751 6.846
Sr 1.417 1.166 8.985
O 4.250 2.919 16.506
Al 1.417 7.290 1.823
Al 2.808 8.403 4.190
O 4.250 8.706 16.490
Si 1.417 8.152 15.085
Sr 4.250 9.772 14.359
Si 4.250 5.917 2.696
Sr 1.417 4.022 0.721
Al 4.250 3.087 14.704
O 2.817 1.539 14.277
O 1.417 7.458 0.021
Sr 1.417 0.605 2.167
Si 4.250 2.225 1.441
H 1.417 10.218 12.043
O 4.250 2.106 4.596
Al 5.642 1.975 12.336
H 1.417 5.347 3.780
O 0.016 3.650 6.014
Si 1.417 4.460 13.830
O 2.755 0.817 6.529
O 1.417 3.235 12.687
O 1.417 7.294 3.667
Al 2.808 7.163 12.454
Al 4.250 2.101 6.441
Al 0.025 7.163 12.454
Al 2.859 3.214 4.073
O 2.817 3.650 6.014
O 4.250 7.142 3.839
Si 1.417 4.078 6.816
O 4.250 4.572 3.709
O 2.850 8.839 2.249
O 4.250 0.562 1.417
O 1.417 9.761 4.554
O 2.751 7.861 5.985
O 4.250 0.617 11.972
O 1.417 1.671 0.036
O 2.751 7.704 14.248
O 5.585 2.673 2.278
O 5.651 8.839 2.249
O 0.082 7.861 5.985
O 2.850 6.727 10.512
Si 1.417 7.414 6.822
Sr 4.250 6.355 15.805
O 1.417 1.953 4.424
O 4.250 9.550 4.510
O 0.079 0.817 6.529
O 2.913 9.560 9.998
O 4.250 2.270 8.243
H 4.250 0.159 4.484
Sr 4.250 9.211 7.542
O 4.250 3.083 12.859
Al 0.025 8.403 4.190
O 1.417 8.272 11.930
Al 5.642 3.214 4.073
O 2.916 2.516 10.541
O 1.417 9.815 15.109
O 5.585 2.516 10.541
Si 4.250 6.299 9.710
O 1.417 0.827 12.016
O 2.916 2.673 2.278
Al 2.859 1.975 12.336
Al 1.417 8.276 10.086
O 4.250 6.860 8.227
Sr 1.417 4.584 10.430
O 5.588 9.560 9.998
O 5.588 6.006 1.734
Si 4.250 2.963 9.705
O 4.250 8.424 12.102
O 1.417 5.805 12.817
O 1.417 3.517 8.299
Sr 4.250 5.794 6.096
O 0.016 1.539 14.277
O 5.651 6.727 10.512
O 2.755 4.372 14.792
O 0.082 7.704 14.248
O 1.417 8.108 8.284
Si 1.417 1.110 15.079
O 4.250 6.016 12.773
O 1.417 4.361 3.753
Si 4.250 9.267 1.447
H 4.250 5.030 12.747
Si 1.417 0.728 5.567
O 4.250 4.627 9.680
O 2.913 6.006 1.734
O 0.079 4.372 14.792


9.
8
Lattice="4.473 0.000 0.000 2.237 4.148 0.035 2.237 0.375 4.131" Properties=species:S:1:pos:R:3 comment="SmAlH2O4 | Alexandria | GGA-PBE | optimized geometry" spacegroup="I222, No. 23" n_ef_per_ev_atom=0.00 pbc="T T T"
O 5.700 2.574 3.367
H 6.710 3.049 2.808
O 5.700 1.949 0.799
H 2.237 1.475 1.359
Al 4.473 2.262 2.083
O 3.247 3.567 2.289
O 3.247 0.956 1.877
Sm 0.000 0.000 0.000


10.
10
Lattice="3.549 0.000 0.000 -1.775 6.085 0.000 0.000 0.000 6.573" Properties=species:S:1:pos:R:3 comment="SrAlHO2 | Alexandria | GGA-PBE | optimized geometry" spacegroup="Cmcm, No. 63" n_ef_per_ev_atom=0.00 pbc="T T T"
O 1.775 4.393 0.089
H 0.000 6.055 4.930
Al 0.000 0.000 0.000
O 0.000 1.692 3.376
Al 0.000 0.000 3.286
H 1.775 0.030 1.643
Sr 1.775 2.596 4.930
Sr 0.000 3.489 1.643
O 1.775 4.393 3.197
O 0.000 1.692 6.484


11.
8
Lattice="4.464 0.000 0.000 2.232 3.989 -0.001 2.232 0.326 3.976" Properties=species:S:1:pos:R:3 comment="TmAlH2O4 | Alexandria | GGA-PBE | optimized geometry" spacegroup="I222, No. 23" n_ef_per_ev_atom=0.00 pbc="T T T"
Tm 0.000 0.000 0.000
H 2.232 1.365 1.257
O 3.237 3.463 2.200
H 6.696 2.950 2.718
O 5.691 2.477 3.271
O 3.237 0.852 1.775
O 5.691 1.838 0.703
Al 4.464 2.158 1.987


12.
10
Lattice="5.294 0.082 0.047 2.722 4.294 -0.006 2.727 1.420 4.750" Properties=species:S:1:pos:R:3 comment="UAlH2O6 | Alexandria | GGA-PBE | optimized geometry" spacegroup="P1, No. 1" n_ef_per_ev_atom=0.45 pbc="T T T"
O 3.589 2.870 3.725
Al 8.018 4.264 2.668
O 4.347 4.233 1.587
O 5.967 1.335 3.852
U 2.784 1.400 0.265
H 3.296 1.945 3.561
O 7.363 2.844 1.487
O 6.462 4.108 3.734
O 4.429 1.167 1.507
H 4.789 3.354 1.630


| no. | calculated total energy (eV/atom) | total magnetic moment (Bohr magnetons per cell) |
| --- | --- | --- |
| 1 | -6.1006 | 2.00 |
| 2 | -6.9868 | 0.00 |
| 3 | -6.7421 | 0.00 |
| 4 | -6.7417 | 0.00 |
| 5 | -4.3457 | 0.00 |
| 6 | -6.7417 | 0.00 |
| 7 | -6.6807 | 0.00 |
| 8 | -7.3479 | 0.14 |
| 9 | -6.6302 | 0.00 |
| 10 | -5.6157 | 0.00 |
| 11 | -6.6296 | 0.00 |
| 12 | -7.2661 | 0.79 |